The following is a DFT calculation (PBE) of an optimized crystal structure of LiCSe2.

Values from the calculation:
**Density of states at the Fermi level**: 4.4 states/eV per cell
**E above lowest polymorph**: 0.000 eV per atom
**M_tot**: 1.00 μB/f.u.
**Energy relative to the elements, uncorrected**: 0.355 eV per atom

Cell: 4.2919 4.2919 18.1262 Å, 90.00 90.00 120.00°
Space group R-3m (No. 166, hexagonal axes)
Symmetry-distinct sites (fractional):
Li  0.0000  0.0000  0.0000 x3
C  0.0000  0.0000  0.5000 x3
Se  0.0000  0.0000  0.4030 x6